# 1
Material: ReIr
Method: DFT, GGA-PBE
State: relaxed

a b c (Å): 2.7693 4.3859 4.8243
angles (deg): 90.00 90.00 90.00
Space group Pmmn (No. 59, origin choice 2)
Unique sites:
Re (0.2500, 0.2500, 0.0896) (multiplicity 2)
Ir (0.2500, 0.7500, 0.4197) (multiplicity 2)

Properties
Theoretical density in kg/m³: 21449
Offset from the most stable computed form in meV/atom: 91
Volume in A^3/atom: 14.65
Size of the total moment in μB per formula unit: 0.000
Formation enthalpy at 0 K in meV/atom: -185


# 2
Material: ReIr
Method: DFT, GGA-PBE
State: relaxed

a b c (Å): 3.8938 11.0441 6.6188
angles (deg): 90.00 90.00 90.00
Space group Pmmn (No. 59, origin choice 2)
Unique sites:
Re (0.2500, 0.0992, 0.0754) (multiplicity 4)
Re (0.2500, 0.7500, 0.4387) (multiplicity 2)
Ir (0.2500, 0.2500, 0.3439) (multiplicity 2)
Ir (0.2500, 0.6201, 0.1418) (multiplicity 4)

Properties
Theoretical density in kg/m³: 13246
Offset from the most stable computed form in meV/atom: 1413
Volume in A^3/atom: 23.72
Size of the total moment in μB per formula unit: 0.001
Formation enthalpy at 0 K in meV/atom: 1137


# 3
Material: ReIr2
Method: DFT, GGA-PBE
State: relaxed

a b c (Å): 2.7529 14.4229 4.3992
angles (deg): 90.00 90.00 90.00
Space group Cmcm (No. 63)
Unique sites:
Re (0.0000, 0.1122, 0.2500) (multiplicity 4)
Ir (0.0000, 0.2238, 0.7500) (multiplicity 4)
Ir (0.0000, 0.4460, 0.2500) (multiplicity 4)

Properties
Theoretical density in kg/m³: 21700
Offset from the most stable computed form in meV/atom: 0
Volume in A^3/atom: 14.56
Size of the total moment in μB per formula unit: 0.000
Formation enthalpy at 0 K in meV/atom: -231


# 4
Material: Re7Ir6
Method: DFT, GGA-PBE
State: relaxed

a b c (Å): 5.0798 5.0798 26.9899
angles (deg): 90.00 90.00 120.00
Space group R-3m (No. 166, hexagonal axes)
Unique sites:
Re (0.0000, 0.0000, 0.0000) (multiplicity 3)
Re (0.0041, 0.5021, 0.4128) (multiplicity 18)
Ir (0.0000, 0.0000, 0.1622) (multiplicity 6)
Ir (0.0000, 0.0000, 0.3489) (multiplicity 6)
Ir (0.0000, 0.0000, 0.4535) (multiplicity 6)

Properties
Theoretical density in kg/m³: 20291
Volume in A^3/atom: 15.47
Size of the total moment in μB per formula unit: 0.000
Formation enthalpy at 0 K in meV/atom: 248


Q: Look up the formation enthalpy at 0 K of the third one.
A: -231 meV/atom


Q: Among the records above, which one has the lowest theoretical density?
A: number 2


Q: Which formula does entry 3 have?
A: ReIr2